A PBEsol-optimized structure of Rb3CoTe, computed with SCAN.

Structure (POSCAR):
```
Rb3CoTe
1.0
-1.928 -0.446 5.677
3.921 -4.449 0.983
4.129 4.018 1.718
Te Co Rb
1 1 3
Cartesian
3.061 -0.438 4.189
0.000 0.000 0.000
1.961 -2.225 0.491
2.064 2.009 0.859
-0.964 -0.223 2.838
```

Summary:
The calculation puts the uncorrected formation energy at 0.009 eV/atom. As for the total moment: 2.06 μB per formula unit.



A PBEsol-optimized structure of MgTlSCl2, computed with SCAN.

Structure (POSCAR):
```
MgTlSCl2
1.0
4.870 0.000 0.000
0.000 4.870 0.000
0.000 0.000 5.028
Mg Tl S Cl
1 1 1 2
Cartesian
0.000 0.000 0.000
2.435 2.435 2.514
0.000 0.000 2.514
0.000 2.435 0.000
2.435 0.000 0.000
```

Summary:
The calculation puts the uncorrected formation energy at -1.114 eV/atom. The relative energy among the computed polymorphs is 0 meV/atom. Its density of states at the Fermi level is 2.31 states/eV/cell. As for the total moment: 1.00 μB per formula unit.



A PBEsol-optimized structure of SiPIr2, computed with SCAN.

Structure (POSCAR):
```
SiPIr2
1.0
-1.546 2.129 -0.888
-3.929 0.205 2.992
-0.098 3.281 3.696
Ir P Si
2 1 1
Cartesian
-3.403 3.145 4.783
-2.170 2.470 1.017
-0.773 1.064 -0.444
-2.014 1.743 3.344
```

Summary:
The calculation puts the uncorrected formation energy at 0.181 eV/atom. The relative energy among the computed polymorphs is 260 meV/atom. Its density of states at the Fermi level is 2.57 states/eV/cell. As for the total moment: 0.00 μB per formula unit.



A PBEsol-optimized structure of Mn2TlSe, computed with SCAN.

Structure (POSCAR):
```
Mn2TlSe
1.0
-2.537 0.417 -1.782
-1.090 -4.492 0.501
-1.342 2.165 5.162
Mn Se Tl
2 1 1
Cartesian
-4.454 -1.571 3.228
-2.025 -2.289 2.347
-2.229 -2.322 -0.116
-3.044 0.325 1.664
```

Summary:
The calculation puts the uncorrected formation energy at -0.081 eV/atom. The relative energy among the computed polymorphs is 31 meV/atom. Its density of states at the Fermi level is 1.36 states/eV/cell. As for the total moment: 7.49 μB per formula unit.



total moment of number 1 (Rb3CoTe)?
2.06 μB per formula unit